Record 1
! CdIn2H2 | Alexandria via LeMat-Bulk | PBE-GGA | optimized geometry; values from VASP
&SYSTEM
  ibrav = 0, nat = 10, ntyp = 3
/
ATOMIC_SPECIES
Cd 112.41 Cd.upf
In 114.82 In.upf
H 1.01 H.upf
ATOMIC_POSITIONS crystal
Cd 0.0000 0.0000 0.0000
Cd 0.5000 0.5000 0.0000
In 0.1386 0.3614 0.5000
In 0.3614 0.8614 0.5000
In 0.6386 0.1386 0.5000
In 0.8614 0.6386 0.5000
H 0.1059 0.6059 0.0000
H 0.3941 0.1059 0.0000
H 0.6059 0.8941 0.0000
H 0.8941 0.3941 0.0000
CELL_PARAMETERS angstrom
7.7297 0.0000 0.0000
0.0000 7.7297 0.0000
0.0000 0.0000 2.9577
! Magnetic moment in μB per cell: 0.0
! Distance to the lowest polymorph of the same formula in eV/atom: 0.2081
! Theoretical density in g cm⁻³: 6.5
! Final energy in hartree per atom: -0.0810

Record 2
! NbHRh2 | Alexandria via LeMat-Bulk | PBE-GGA | optimized geometry; values from VASP
&SYSTEM
  ibrav = 0, nat = 4, ntyp = 3
/
ATOMIC_SPECIES
Nb 92.91 Nb.upf
H 1.01 H.upf
Rh 102.91 Rh.upf
ATOMIC_POSITIONS crystal
Nb 0.0000 0.0000 0.0000
H 0.5000 0.5000 0.5000
Rh 0.2500 0.2500 0.2500
Rh 0.7500 0.7500 0.7500
CELL_PARAMETERS angstrom
0.0000 2.9959 2.9959
2.9959 0.0000 2.9959
2.9959 2.9959 0.0000
! Magnetic moment in μB per cell: 0.0
! Distance to the lowest polymorph of the same formula in eV/atom: 0.2883
! Theoretical density in g cm⁻³: 9.3
! Final energy in hartree per atom: -0.2539

Record 3
! Zr2ZnB | Alexandria via LeMat-Bulk | PBE-GGA | optimized geometry; values from VASP
&SYSTEM
  ibrav = 0, nat = 4, ntyp = 3
/
ATOMIC_SPECIES
Zr 91.22 Zr.upf
Zn 65.41 Zn.upf
B 10.81 B.upf
ATOMIC_POSITIONS crystal
Zr 0.2500 0.2500 0.2500
Zr 0.7500 0.7500 0.7500
Zn 0.0000 0.0000 0.0000
B 0.5000 0.5000 0.5000
CELL_PARAMETERS angstrom
0.0000 3.1909 3.1909
3.1909 0.0000 3.1909
3.1909 3.1909 0.0000
! Magnetic moment in μB per cell: 0.0
! Distance to the lowest polymorph of the same formula in eV/atom: 0.3863
! Energy of formation from the pure elements in eV per formula unit: 0.19
! Theoretical density in g cm⁻³: 6.6
! Final energy in hartree per atom: -0.2283

Record 4
! Sr2SiBiAu6 | Alexandria via LeMat-Bulk | PBE-GGA | optimized geometry; values from VASP
&SYSTEM
  ibrav = 0, nat = 20, ntyp = 4
/
ATOMIC_SPECIES
Sr 87.62 Sr.upf
Si 28.09 Si.upf
Bi 208.98 Bi.upf
Au 196.97 Au.upf
ATOMIC_POSITIONS crystal
Sr 0.2500 0.0169 0.2471
Sr 0.2500 0.4831 0.2471
Sr 0.7500 0.5169 0.7529
Sr 0.7500 0.9831 0.7529
Si 0.2500 0.2500 0.5764
Si 0.7500 0.7500 0.4236
Bi 0.2500 0.7500 0.9079
Bi 0.7500 0.2500 0.0921
Au 0.0550 0.2500 0.8716
Au 0.0599 0.7500 0.5325
Au 0.2500 0.0034 0.6983
Au 0.2500 0.4966 0.6983
Au 0.4401 0.7500 0.5325
Au 0.4450 0.2500 0.8716
Au 0.5550 0.7500 0.1284
Au 0.5599 0.2500 0.4675
Au 0.7500 0.5034 0.3017
Au 0.7500 0.9966 0.3017
Au 0.9401 0.2500 0.4675
Au 0.9450 0.7500 0.1284
CELL_PARAMETERS angstrom
7.1955 0.0000 0.0000
0.0000 9.2334 0.0000
0.0000 0.0000 7.6441
! Magnetic moment in μB per cell: 0.0
! Formation energy (no corrections) in eV per atom: -0.4460
! Theoretical density in g cm⁻³: 10.4
! Final energy in hartree per atom: -0.1352

Record 5
! AsPtRh | Alexandria via LeMat-Bulk | PBE-GGA | optimized geometry; values from VASP
&SYSTEM
  ibrav = 0, nat = 3, ntyp = 3
/
ATOMIC_SPECIES
As 74.92 As.upf
Pt 195.08 Pt.upf
Rh 102.91 Rh.upf
ATOMIC_POSITIONS crystal
As 0.0000 0.0000 0.0000
Pt 0.2500 0.2500 0.2500
Rh 0.7500 0.7500 0.7500
CELL_PARAMETERS angstrom
0.0000 2.9193 2.9193
2.9193 0.0000 2.9193
2.9193 2.9193 0.0000
! Magnetic moment in μB per cell: 0.0
! Energy of formation from the pure elements in eV per formula unit: -0.92
! Theoretical density in g cm⁻³: 12.4
! Final energy in hartree per atom: -0.2323

Record 6
! Ac2Ga6OsPt | Alexandria via LeMat-Bulk | PBE-GGA | optimized geometry; values from VASP
&SYSTEM
  ibrav = 0, nat = 10, ntyp = 4
/
ATOMIC_SPECIES
Ac 227.00 Ac.upf
Ga 69.72 Ga.upf
Os 190.23 Os.upf
Pt 195.08 Pt.upf
ATOMIC_POSITIONS crystal
Ac 0.2434 0.2434 0.1864
Ac 0.7566 0.7566 0.8136
Ga 0.2227 0.7244 0.7257
Ga 0.2523 0.2523 0.6158
Ga 0.2756 0.7773 0.2743
Ga 0.7244 0.2227 0.7257
Ga 0.7477 0.7477 0.3842
Ga 0.7773 0.2756 0.2743
Os 0.5000 0.5000 0.0000
Pt 0.0000 0.0000 0.5000
CELL_PARAMETERS angstrom
6.1976 -2.8238 0.0000
6.1976 2.8238 0.0000
-5.4956 0.0000 6.2871
! Magnetic moment in μB per cell: 0.0
! Energy of formation from the pure elements in eV per formula unit: -4.61
! Theoretical density in g cm⁻³: 9.5
! Final energy in hartree per atom: -0.1773

Record 7
! SrMgTl2 | Alexandria via LeMat-Bulk | PBE-GGA | optimized geometry; values from VASP
&SYSTEM
  ibrav = 0, nat = 4, ntyp = 3
/
ATOMIC_SPECIES
Sr 87.62 Sr.upf
Mg 24.30 Mg.upf
Tl 204.38 Tl.upf
ATOMIC_POSITIONS crystal
Sr 0.0000 0.0000 0.0000
Mg 0.0000 0.0000 0.5000
Tl 0.4992 0.5000 0.7132
Tl 0.5008 0.5000 0.2868
CELL_PARAMETERS angstrom
3.8092 0.0000 0.0000
0.0000 3.8155 0.0000
-0.0263 0.0000 7.8862
! Magnetic moment in μB per cell: 0.0
! Distance to the lowest polymorph of the same formula in eV/atom: 0.0185
! Energy of formation from the pure elements in eV per formula unit: -1.03
! Theoretical density in g cm⁻³: 7.5
! Final energy in hartree per atom: -0.0830

Record 8
! BeVAg | Alexandria via LeMat-Bulk | PBE-GGA | optimized geometry; values from VASP
&SYSTEM
  ibrav = 0, nat = 6, ntyp = 3
/
ATOMIC_SPECIES
Be 9.01 Be.upf
V 50.94 V.upf
Ag 107.87 Ag.upf
ATOMIC_POSITIONS crystal
Be 0.2500 0.2500 0.2322
Be 0.7500 0.7500 0.7678
V 0.2500 0.7500 0.4771
V 0.7500 0.2500 0.5229
Ag 0.2500 0.2500 0.8721
Ag 0.7500 0.7500 0.1279
CELL_PARAMETERS angstrom
2.9083 0.0000 0.0000
0.0000 3.8629 0.0000
0.0000 0.0000 7.0556
! Magnetic moment in μB per cell: 0.0
! Distance to the lowest polymorph of the same formula in eV/atom: 0.0767
! Energy of formation from the pure elements in eV per formula unit: 0.55
! Theoretical density in g cm⁻³: 7.0
! Final energy in hartree per atom: -0.1855

Record 9
! Ba2Tl4PdPt3 | Alexandria via LeMat-Bulk | PBE-GGA | optimized geometry; values from VASP
&SYSTEM
  ibrav = 0, nat = 10, ntyp = 4
/
ATOMIC_SPECIES
Ba 137.33 Ba.upf
Tl 204.38 Tl.upf
Pd 106.42 Pd.upf
Pt 195.08 Pt.upf
ATOMIC_POSITIONS crystal
Ba 0.0000 0.5000 0.2353
Ba 0.5000 0.0000 0.7647
Tl 0.0000 0.0000 0.5000
Tl 0.0000 0.5000 0.8813
Tl 0.5000 0.0000 0.1187
Tl 0.5000 0.5000 0.5000
Pd 0.5000 0.5000 0.0000
Pt 0.0000 0.0000 0.0000
Pt 0.0000 0.5000 0.6309
Pt 0.5000 0.0000 0.3691
CELL_PARAMETERS angstrom
4.9097 0.0000 0.0000
0.0000 4.9097 0.0000
0.0000 0.0000 10.9938
! Magnetic moment in μB per cell: 0.0
! Energy of formation from the pure elements in eV per formula unit: -4.29
! Theoretical density in g cm⁻³: 11.2
! Final energy in hartree per atom: -0.1504

Record 10
! KFeCu | Alexandria via LeMat-Bulk | PBE-GGA | optimized geometry; values from VASP
&SYSTEM
  ibrav = 0, nat = 3, ntyp = 3
/
ATOMIC_SPECIES
K 39.10 K.upf
Fe 55.84 Fe.upf
Cu 63.55 Cu.upf
ATOMIC_POSITIONS crystal
K 0.0000 0.0000 0.0000
Fe 0.2703 0.2703 0.0000
Cu 0.7200 0.7200 0.0000
CELL_PARAMETERS angstrom
-1.6679 1.6679 6.0734
1.6679 -1.6679 6.0734
1.6679 1.6679 -6.0734
! Magnetic moment in μB per cell: 3.0
! Distance to the lowest polymorph of the same formula in eV/atom: 0.0515
! Energy of formation from the pure elements in eV per formula unit: 2.19
! Theoretical density in g cm⁻³: 3.9
! Final energy in hartree per atom: -0.1404

Record 11
! FeRhS | Alexandria via LeMat-Bulk | PBE-GGA | optimized geometry; values from VASP
&SYSTEM
  ibrav = 0, nat = 3, ntyp = 3
/
ATOMIC_SPECIES
Fe 55.84 Fe.upf
Rh 102.91 Rh.upf
S 32.06 S.upf
ATOMIC_POSITIONS crystal
Fe 0.0000 0.0000 0.0000
Rh 0.5982 0.5982 0.5883
S 0.3055 0.3055 0.0643
CELL_PARAMETERS angstrom
3.7978 -1.4862 0.0000
3.7978 1.4862 0.0000
-1.9564 0.0000 3.7894
! Magnetic moment in μB per cell: 1.9
! Formation energy (no corrections) in eV per atom: -0.0316
! Distance to the lowest polymorph of the same formula in eV/atom: 0.1688
! Theoretical density in g cm⁻³: 7.4
! Final energy in hartree per atom: -0.2454

Record 12
! InSnRu | Alexandria via LeMat-Bulk | PBE-GGA | optimized geometry; values from VASP
&SYSTEM
  ibrav = 0, nat = 6, ntyp = 3
/
ATOMIC_SPECIES
In 114.82 In.upf
Sn 118.71 Sn.upf
Ru 101.07 Ru.upf
ATOMIC_POSITIONS crystal
In 0.1382 0.8618 0.7500
In 0.8618 0.1382 0.2500
Sn 0.1319 0.8681 0.2500
Sn 0.8681 0.1319 0.7500
Ru 0.5000 0.5000 0.0000
Ru 0.5000 0.5000 0.5000
CELL_PARAMETERS angstrom
1.5817 -6.1561 0.0000
1.5817 6.1561 0.0000
0.0000 0.0000 6.3936
! Magnetic moment in μB per cell: 0.0
! Energy of formation from the pure elements in eV per formula unit: 0.05
! Theoretical density in g cm⁻³: 8.9
! Final energy in hartree per atom: -0.1955

- Which of these has the highest magnetic moment?
  KFeCu

- The lowest final energy belongs to which entry?
  NbHRh2